# 1
The following is a DFT calculation (PBE-GGA) of MnGaNi2 after structural relaxation.

DOS at the Fermi energy   0.492 states/eV per atom
Energy of formation   80.3 kJ per mole of atoms
Theoretical density   5.85 g/cm3
Spin magnetization   3.7 μB per formula unit

Cell lengths 6.419, 6.419, 6.419 Å; angles 133.34, 133.34, 68.12 degrees
Element x y z (fractional)
Mn 0.000 0.000 0.000
Mn 0.750 0.250 0.500
Ga 0.250 0.750 0.500
Ga 0.500 0.500 0.000
Ni 0.123 0.625 0.998
Ni 0.375 0.373 0.498
Ni 0.627 0.125 0.002
Ni 0.875 0.877 0.502

***

# 2
The following is a DFT calculation (PBE-GGA) of Mn2GaNi9 after structural relaxation.

DOS at the Fermi energy   1.081 states/eV per atom
Energy of formation   -16.0 kJ per mole of atoms
Theoretical density   8.61 g/cm3
Spin magnetization   10.2 μB per formula unit

Cell lengths 3.576, 3.576, 10.674 Å; angles 90.00, 90.00, 90.00 degrees
Element x y z (fractional)
Mn 0.000 0.000 0.167
Mn 0.000 0.000 0.833
Ga 0.000 0.000 0.500
Ni 0.000 0.500 0.000
Ni 0.000 0.500 0.332
Ni 0.000 0.500 0.668
Ni 0.500 0.000 0.000
Ni 0.500 0.000 0.332
Ni 0.500 0.000 0.668
Ni 0.500 0.500 0.167
Ni 0.500 0.500 0.500
Ni 0.500 0.500 0.833

***

# 3
The following is a DFT calculation (PBE-GGA) of Mn2Ga3Ni7 after structural relaxation.

DOS at the Fermi energy   0.510 states/eV per atom
Energy of formation   -9.8 kJ per mole of atoms
Theoretical density   7.71 g/cm3
Spin magnetization   9.1 μB per formula unit

Cell lengths 3.941, 3.781, 10.724 Å; angles 90.00, 100.53, 90.00 degrees
Element x y z (fractional)
Mn 0.155 0.000 0.309
Mn 0.845 0.000 0.691
Ga 0.000 0.000 0.000
Ga 0.350 0.500 0.699
Ga 0.650 0.500 0.301
Ni 0.076 0.500 0.152
Ni 0.279 0.000 0.558
Ni 0.423 0.000 0.848
Ni 0.500 0.500 0.000
Ni 0.577 0.000 0.152
Ni 0.721 0.000 0.442
Ni 0.924 0.500 0.848

***

# 4
The following is a DFT calculation (PBE-GGA) of MnGa2Ni3 after structural relaxation.

Excess energy over the best structure of this formula in the dataset   0 meV per atom
DOS at the Fermi energy   0.597 states/eV per atom
Energy of formation   -30.6 kJ per mole of atoms
Theoretical density   8.33 g/cm3
Spin magnetization   4.0 μB per formula unit

Cell lengths 4.104, 4.104, 5.064 Å; angles 90.00, 90.00, 120.00 degrees
Element x y z (fractional)
Mn 0.000 0.000 0.000
Ga 0.333 0.667 0.688
Ga 0.667 0.333 0.312
Ni 0.000 0.000 0.500
Ni 0.333 0.667 0.186
Ni 0.667 0.333 0.814